# CoSnSeO PBE with a Hubbard U relaxed
# total magnetic moment = 3.0 μB per formula unit
# polymorph energy (0 for the lowest one) = 0.064 eV/atom
data_CoSnSeO
_chemical_formula_sum 'Co4 Sn4 Se4 O4'
_symmetry_space_group_name_H-M 'P 21 21 21'
_symmetry_Int_Tables_number 19
_symmetry_space_group_name_Hall 'P 2ac 2ab'
_cell_length_a 5.726
_cell_length_b 7.139
_cell_length_c 8.455
_cell_angle_alpha 90.00
_cell_angle_beta 90.00
_cell_angle_gamma 90.00
loop_
_atom_site_label
_atom_site_type_symbol
_atom_site_fract_x
_atom_site_fract_y
_atom_site_fract_z
Co1 Co 0.010 0.111 0.069
Sn1 Sn 0.067 0.140 0.387
Se1 Se 0.083 0.388 0.903
O1 O 0.110 0.862 0.005